NaLaIrO6: relaxed, PBE.

Lattice parameters (Å, degrees): 5.5629 5.5629 4.9171 90.00 90.00 120.00
Space group P312 (No. 149)
Inequivalent atoms, fractional coordinates:
Na 0.0000 0.0000 0.0000 x1
La 0.6667 0.3333 0.5000 x1
Ir 0.3333 0.6667 0.0000 x1
O 0.0513 0.3932 0.2221 x6

Output
The calculation puts the formation energy (no corrections) at -1.458 eV/atom. Its total energy is -6.44 eV/atom.